# ScCuHg2 PBE optimized geometry
# **Magnetic moment**: 0.000 μB per cell
# **Formation energy from the elements**: -19 kJ per mole of atoms
data_ScCuHg2
_chemical_formula_sum 'Sc4 Cu4 Hg8'
_symmetry_space_group_name_H-M 'I 4/m m m'
_symmetry_Int_Tables_number 139
_symmetry_space_group_name_Hall '-I 4 2'
_cell_length_a 4.472
_cell_length_b 4.472
_cell_length_c 15.727
_cell_angle_alpha 90.00
_cell_angle_beta 90.00
_cell_angle_gamma 90.00
loop_
_atom_site_label
_atom_site_type_symbol
_atom_site_fract_x
_atom_site_fract_y
_atom_site_fract_z
_atom_site_occupancy
Sc1 Sc 0.000 0.000 0.142 1
Cu1 Cu 0.000 0.500 0.250 1
Hg1 Hg 0.000 0.000 0.348 1
Hg2 Hg 0.000 0.500 0.000 1



# ScCuHg2 PBE optimized geometry
# **Magnetic moment**: 0.000 μB per cell
# **Formation energy from the elements**: -14 kJ per mole of atoms
data_ScCuHg2
_chemical_formula_sum 'Sc4 Cu4 Hg8'
_symmetry_space_group_name_H-M 'F -4 3 m'
_symmetry_Int_Tables_number 216
_symmetry_space_group_name_Hall 'F -4 2 3'
_cell_length_a 6.746
_cell_length_b 6.746
_cell_length_c 6.746
_cell_angle_alpha 90.00
_cell_angle_beta 90.00
_cell_angle_gamma 90.00
loop_
_atom_site_label
_atom_site_type_symbol
_atom_site_fract_x
_atom_site_fract_y
_atom_site_fract_z
_atom_site_occupancy
Sc1 Sc 0.000 0.000 0.000 1
Cu1 Cu 0.250 0.250 0.250 1
Hg1 Hg 0.000 0.000 0.500 1
Hg2 Hg 0.250 0.250 0.750 1



# ScCuHg4 PBE optimized geometry
# **Magnetic moment**: 0.004 μB per cell
# **Formation energy from the elements**: 28 kJ per mole of atoms
data_ScCuHg4
_chemical_formula_sum 'Sc4 Cu4 Hg16'
_symmetry_space_group_name_H-M 'F -4 3 m'
_symmetry_Int_Tables_number 216
_symmetry_space_group_name_Hall 'F -4 2 3'
_cell_length_a 8.184
_cell_length_b 8.184
_cell_length_c 8.184
_cell_angle_alpha 90.00
_cell_angle_beta 90.00
_cell_angle_gamma 90.00
loop_
_atom_site_label
_atom_site_type_symbol
_atom_site_fract_x
_atom_site_fract_y
_atom_site_fract_z
_atom_site_occupancy
Sc1 Sc 0.000 0.000 0.000 1
Cu1 Cu 0.250 0.250 0.750 1
Hg1 Hg 0.125 0.125 0.375 1